No. 1
Density functional theory data (meta-GGA SCAN) for a crystal of ZrRuBr2 relaxed with PBEsol.

Cell and atoms, written as POSCAR:
```
ZrRuBr2
1.0
10.4421 0.0000 0.0000
0.0000 3.3952 0.0000
-0.9397 0.0000 5.4415
Zr Ru Br
2 2 4
Cartesian
0.0000 0.0000 0.0000
5.2211 1.6976 0.0000
3.2568 0.0000 4.0585
8.4779 1.6976 4.0585
-0.2468 1.6976 2.3068
2.3828 1.6976 0.0207
4.9743 0.0000 2.3068
7.6039 0.0000 0.0207
```

## Properties
formation energy from raw total energies	-1.9	eV/f.u.
DFT total energy	-212.623	eV/cell
M_tot	0.000	μB/atom

No. 2
Density functional theory data (meta-GGA SCAN) for a crystal of Sb3SBr relaxed with PBEsol.

Cell and atoms, written as POSCAR:
```
Sb3SBr
1.0
5.4174 0.0000 0.0000
0.0000 5.4174 0.0000
0.0000 0.0000 5.4174
Sb S Br
3 1 1
Cartesian
0.0000 0.0000 2.7087
0.0000 2.7087 0.0000
2.7087 0.0000 0.0000
2.7087 2.7087 2.7087
0.0000 0.0000 0.0000
```

## Properties
Fermi-level density of states	7.1	states/eV per cell
formation energy from raw total energies	7.0	eV/f.u.
DFT total energy	-133.855	eV/cell
M_tot	0.227	μB/atom

No. 3
Density functional theory data (meta-GGA SCAN) for a crystal of SbSBr2 relaxed with PBEsol.

Cell and atoms, written as POSCAR:
```
SbSBr2
1.0
3.3641 0.0000 0.0000
-1.6821 2.9134 0.0000
0.0000 0.0000 29.3256
Sb S Br
3 3 6
Cartesian
0.0000 0.0000 0.0000
0.0000 1.9423 19.5504
1.6821 0.9711 9.7752
0.0000 0.0000 14.6628
0.0000 1.9423 4.8876
1.6821 0.9711 24.4380
0.0000 0.0000 2.7098
0.0000 0.0000 26.6158
0.0000 1.9423 16.8406
0.0000 1.9423 22.2603
1.6821 0.9711 7.0654
1.6821 0.9711 12.4850
```

## Properties
Fermi-level density of states	10.3	states/eV per cell
formation energy from raw total energies	2.2	eV/f.u.
DFT total energy	-250.764	eV/cell
M_tot	0.000	μB/atom

No. 4
Density functional theory data (meta-GGA SCAN) for a crystal of SeS2Br relaxed with PBEsol.

Cell and atoms, written as POSCAR:
```
SeS2Br
1.0
6.5977 0.0000 0.0000
0.0000 6.5977 0.0000
0.0000 0.0000 6.5977
Se S Br
4 8 4
Cartesian
0.0000 0.0000 0.0000
0.0000 3.2989 3.2989
3.2989 0.0000 3.2989
3.2989 3.2989 0.0000
1.6494 1.6494 1.6494
1.6494 1.6494 4.9483
1.6494 4.9483 1.6494
1.6494 4.9483 4.9483
4.9483 1.6494 1.6494
4.9483 1.6494 4.9483
4.9483 4.9483 1.6494
4.9483 4.9483 4.9483
0.0000 0.0000 3.2989
0.0000 3.2989 0.0000
3.2989 0.0000 0.0000
3.2989 3.2989 3.2989
```

## Properties
Fermi-level density of states	10.0	states/eV per cell
formation energy from raw total energies	4.2	eV/f.u.
DFT total energy	-218.534	eV/cell
M_tot	0.000	μB/atom

No. 5
Density functional theory data (meta-GGA SCAN) for a crystal of SnSe2SBr relaxed with PBEsol.

Cell and atoms, written as POSCAR:
```
SnSe2SBr
1.0
4.9266 0.0000 0.0000
0.0000 4.9266 0.0000
0.0000 0.0000 4.8745
Sn Se S Br
1 2 1 1
Cartesian
0.0000 0.0000 0.0000
0.0000 2.4633 2.4372
2.4633 0.0000 2.4372
2.4633 2.4633 2.4372
2.4633 2.4633 0.0000
```

## Properties
Fermi-level density of states	2.1	states/eV per cell
formation energy from raw total energies	1.2	eV/f.u.
DFT total energy	-103.965	eV/cell
M_tot	0.000	μB/atom

No. 6
Density functional theory data (meta-GGA SCAN) for a crystal of TlSe2SBr relaxed with PBEsol.

Cell and atoms, written as POSCAR:
```
TlSe2SBr
1.0
4.8757 0.0000 0.0000
0.0000 4.8757 0.0000
0.0000 0.0000 5.2077
Tl Se S Br
1 2 1 1
Cartesian
0.0000 0.0000 0.0000
0.0000 2.4379 2.6038
2.4379 0.0000 2.6038
2.4379 2.4379 2.6038
2.4379 2.4379 0.0000
```

## Properties
Fermi-level density of states	2.8	states/eV per cell
formation energy from raw total energies	0.5	eV/f.u.
DFT total energy	-141.054	eV/cell
M_tot	0.000	μB/atom

No. 7
Density functional theory data (meta-GGA SCAN) for a crystal of WSeSBr2 relaxed with PBEsol.

Cell and atoms, written as POSCAR:
```
WSeSBr2
1.0
4.8385 0.0000 0.0000
0.0000 4.8385 0.0000
0.0000 0.0000 5.0336
W Se S Br
1 1 1 2
Cartesian
0.0000 0.0000 0.0000
2.4192 2.4192 0.0000
2.4192 2.4192 2.5168
0.0000 2.4192 2.5168
2.4192 0.0000 2.5168
```

## Properties
Fermi-level density of states	4.1	states/eV per cell
formation energy from raw total energies	7.3	eV/f.u.
DFT total energy	-131.001	eV/cell
M_tot	0.899	μB/atom

No. 8
Density functional theory data (meta-GGA SCAN) for a crystal of YSe2SBr relaxed with PBEsol.

Cell and atoms, written as POSCAR:
```
YSe2SBr
1.0
4.9254 0.0000 0.0000
0.0000 4.9254 0.0000
0.0000 0.0000 4.7941
Y Se S Br
1 2 1 1
Cartesian
0.0000 0.0000 0.0000
0.0000 2.4627 2.3971
2.4627 0.0000 2.3971
2.4627 2.4627 2.3971
2.4627 2.4627 0.0000
```

## Properties
Fermi-level density of states	1.5	states/eV per cell
formation energy from raw total energies	-1.9	eV/f.u.
DFT total energy	-99.019	eV/cell
M_tot	0.000	μB/atom